Below is a relaxed MgTaAs2 crystal, with properties calculated at the GGA-PBE level.

Geometry as extended XYZ:
```
4
Lattice="-0.513 -2.788 -6.218 3.535 -4.409 -3.843 -2.931 1.765 5.916" Properties=species:S:1:pos:R:3 pbc="T T T"
Ta 0.918 -2.790 -1.016
Mg 1.395 -3.323 -4.646
As -0.865 -2.552 -3.003
As 0.154 -0.366 -0.511
```

Values from the calculation:
- ΔE_f: -0.313 eV/atom

***

Below is a relaxed TbBIr crystal, with properties calculated at the GGA-PBE level.

Geometry as extended XYZ:
```
3
Lattice="-0.383 1.021 -2.739 2.667 -1.009 -0.748 -3.257 -4.558 0.342" Properties=species:S:1:pos:R:3 pbc="T T T"
Tb -0.042 -0.091 -0.028
Ir -1.218 -2.622 -0.807
B 0.288 -1.833 -2.310
```

Values from the calculation:
- ΔE_f: -0.254 eV/atom
- Energy above the lowest structure with this stoichiometry: 396 meV/atom

***

Below is a relaxed Na2IrPtAu crystal, with properties calculated at the GGA-PBE level.

Geometry as extended XYZ:
```
5
Lattice="4.981 0.000 0.000 0.000 5.114 0.000 0.000 0.000 4.981" Properties=species:S:1:pos:R:3 pbc="T T T"
Na 0.000 0.000 2.490
Na 2.490 0.000 0.000
Ir 2.490 2.557 2.490
Pt 0.000 2.557 0.000
Au 0.000 0.000 0.000
```

Values from the calculation:
- ΔE_f: 1.130 eV/atom

***

Below is a relaxed Dy6Y2HoSc crystal, with properties calculated at the GGA-PBE level.

Geometry as extended XYZ:
```
20
Lattice="8.953 -1.909 -1.981 0.804 8.435 -1.940 0.804 -2.252 8.357" Properties=species:S:1:pos:R:3 pbc="T T T"
Dy 2.166 4.386 -1.425
Dy 4.876 -0.750 5.949
Dy 6.477 1.366 3.748
Dy 1.208 -0.744 5.955
Dy 8.560 -0.376 1.940
Dy 4.084 2.907 0.687
Dy 3.918 6.814 1.096
Dy 2.000 4.650 2.495
Dy 9.353 5.018 -1.520
Dy 5.684 5.024 -1.514
Dy 6.643 -2.541 3.339
Dy 8.394 -0.112 5.860
Y 5.257 4.298 3.373
Y 5.303 -0.024 1.062
Y 0.827 2.017 1.006
Y 9.734 2.257 3.429
Ho 7.518 -3.430 6.627
Ho 3.042 7.704 -2.192
Sc 7.518 2.581 0.835
Sc 3.042 1.693 3.601
```

Values from the calculation:
- ΔE_f: 0.131 eV/atom

***

Below is a relaxed Tb2Pr2Tm3 crystal, with properties calculated at the GGA-PBE level.

Geometry as extended XYZ:
```
7
Lattice="-3.383 2.557 3.677 2.514 -0.054 2.349 -1.312 14.270 1.730" Properties=species:S:1:pos:R:3 pbc="T T T"
Pr -3.572 13.965 4.142
Pr -1.122 2.862 1.266
Tb -1.172 11.144 4.029
Tb -1.009 5.630 3.728
Tm -3.453 8.333 3.885
Tm 0.000 0.000 0.000
Tm -1.241 8.494 1.522
```

Values from the calculation:
- ΔE_f: 0.134 eV/atom
- Energy above the lowest structure with this stoichiometry: 14 meV/atom

***

Below is a relaxed Co4PtRh2 crystal, with properties calculated at the GGA-PBE level.

Geometry as extended XYZ:
```
7
Lattice="-0.060 -0.896 2.581 3.091 -7.634 -2.578 2.091 5.109 1.822" Properties=species:S:1:pos:R:3 pbc="T T T"
Co 0.752 -1.857 -0.627
Co 2.561 -1.710 0.912
Co 1.016 2.107 2.201
Co 2.339 -5.777 -1.951
Pt 1.516 -4.265 0.001
Rh 3.892 -2.983 -0.945
Rh 1.291 0.459 0.189
```

Values from the calculation:
- ΔE_f: 0.155 eV/atom

***

Below is a relaxed Nd6NiOs2Br3 crystal, with properties calculated at the GGA-PBE level.

Geometry as extended XYZ:
```
12
Lattice="-2.623 3.534 -5.569 2.015 -6.767 -0.720 -7.052 -1.285 4.014" Properties=species:S:1:pos:R:3 pbc="T T T"
Nd -6.911 -1.777 -2.410
Nd -0.748 -2.742 0.135
Nd -5.830 -1.909 1.521
Nd -1.829 -2.610 -3.796
Nd -5.351 -5.243 -0.778
Nd -2.309 0.724 -1.497
Os 0.468 -3.332 -2.337
Os -1.076 0.099 -3.952
Ni 0.000 0.000 0.000
Br -3.830 -2.260 -1.138
Br -5.367 1.156 -2.745
Br -2.292 -5.675 0.470
```

Values from the calculation:
- Formation energy without anion corrections: -737 meV per atom

***

Below is a relaxed ScP2SeCl crystal, with properties calculated at the GGA-PBE level.

Geometry as extended XYZ:
```
5
Lattice="5.117 0.000 0.000 0.000 5.117 0.000 0.000 0.000 4.688" Properties=species:S:1:pos:R:3 pbc="T T T"
P 2.558 0.000 0.000
P 0.000 2.558 0.000
Se 2.558 2.558 2.344
Sc 0.000 0.000 0.000
Cl 0.000 0.000 2.344
```

Values from the calculation:
- Formation energy without anion corrections: 125 meV per atom
- Energy above the lowest structure with this stoichiometry: 0 meV/atom

***

Below is a relaxed CeTiSe2N crystal, with properties calculated at the GGA-PBE level.

Geometry as extended XYZ:
```
10
Lattice="3.839 0.000 0.000 0.000 3.839 0.000 0.000 0.000 13.467" Properties=species:S:1:pos:R:3 pbc="T T T"
Se 1.919 0.000 3.792
Se 0.000 1.919 1.310
Se 0.000 1.919 9.675
Se 1.919 0.000 12.157
Ce 0.000 1.919 5.542
Ce 1.919 0.000 7.925
Ti 0.000 1.919 12.129
Ti 1.919 0.000 1.338
N 1.919 1.919 6.734
N 0.000 0.000 6.734
```

Values from the calculation:
- Formation energy without anion corrections: -1304 meV per atom

***

Below is a relaxed NaCaCe2Hg4 crystal, with properties calculated at the GGA-PBE level.

Geometry as extended XYZ:
```
8
Lattice="5.341 0.000 0.000 2.670 4.625 0.000 2.670 1.542 8.740" Properties=species:S:1:pos:R:3 pbc="T T T"
Ce 2.670 1.542 2.222
Ce 8.011 4.625 6.518
Hg 5.341 3.084 7.649
Hg 5.341 3.084 1.091
Hg 2.670 1.542 5.465
Hg 8.011 4.625 3.275
Ca 0.000 0.000 0.000
Na 5.341 3.084 4.370
```

Values from the calculation:
- ΔE_f: -0.353 eV/atom

***

Below is a relaxed Er4HfSc5 crystal, with properties calculated at the GGA-PBE level.

Geometry as extended XYZ:
```
10
Lattice="-0.828 -2.870 4.618 6.235 -3.892 1.975 1.823 4.098 6.149" Properties=species:S:1:pos:R:3 pbc="T T T"
Er 4.874 -2.033 9.044
Er 2.858 0.300 6.857
Er 4.471 -2.621 5.332
Er 2.455 -0.288 3.145
Sc 1.025 2.156 4.539
Sc -0.575 -1.992 3.206
Sc 5.621 1.232 8.064
Sc 6.271 -4.593 7.836
Sc 1.675 -3.669 4.311
Hf -0.178 -0.616 0.991
```

Values from the calculation:
- ΔE_f: 0.233 eV/atom

***

Below is a relaxed Zr4Pd2O crystal, with properties calculated at the GGA-PBE level.

Geometry as extended XYZ:
```
28
Lattice="8.893 0.000 0.000 4.447 7.702 0.000 4.447 2.567 7.261" Properties=species:S:1:pos:R:3 pbc="T T T"
Zr 8.893 3.275 2.316
Zr 4.447 2.567 4.538
Zr 13.340 9.561 6.761
Zr 14.950 8.631 4.131
Zr 2.223 1.284 0.908
Zr 11.729 8.631 4.131
Zr 4.447 5.134 0.908
Zr 6.670 1.284 0.908
Zr 7.283 4.205 4.945
Zr 13.340 5.842 4.131
Zr 10.504 6.064 2.316
Zr 10.504 4.205 4.945
Zr 11.729 6.772 6.761
Zr 7.283 6.064 2.316
Zr 8.893 6.994 4.945
Zr 14.950 6.772 6.761
Pd 8.893 5.134 7.114
Pd 13.340 4.417 6.607
Pd 11.737 3.492 2.469
Pd 13.340 7.702 1.962
Pd 6.049 3.492 2.469
Pd 8.893 8.419 2.469
Pd 10.495 9.344 6.607
Pd 16.184 9.344 6.607
O 6.670 6.418 4.538
O 11.116 6.418 4.538
O 8.893 5.134 0.908
O 8.893 2.567 4.538
```

Values from the calculation:
- Formation energy without anion corrections: -1149 meV per atom
- Energy above the lowest structure with this stoichiometry: 0 meV/atom

***

Volume (computed, A^3/atom): 19.6, 15.1, 25.4, 31.2, 32.3, 13.1, 28.6, 24.5, 19.8, 27.0, 27.7, 17.8